No. 1
VASP calculation (GGA-PBE) on a relaxed Y4Ta2Au3N3 crystal.

Lattice parameters (Å, degrees): 5.9323 5.9324 14.3844 101.81 90.23 119.61
With the nearest neighbours (Å) after each atom.
Fractional coordinates of all 24 atoms:
Y1 0.7000 0.7230 0.6031  3 N 2.48-2.49
Y2 0.8082 0.9406 0.8965  3 N 2.47-2.50
Y3 0.9560 0.5884 0.3965  3 N 2.47-2.50
Y4 0.1199 0.5969 0.8969  3 N 2.48-2.49
Y5 0.0440 0.4116 0.6035  3 N 2.47-2.50
Y6 0.3000 0.2770 0.3969  3 N 2.48-2.49
Y7 0.8801 0.4031 0.1031  3 N 2.48-2.49
Y8 0.1918 0.0594 0.1035  3 N 2.47-2.50
N1 0.6557 0.3095 0.4999  2 Ta 2.12-2.15
N2 0.5000 0.0000 0.0000  2 Ta 2.13
N3 0.0000 0.0000 0.5000  2 Ta 2.13
N4 0.1904 0.3443 0.0000  2 Ta 2.12-2.15
N5 0.8096 0.6557 0.0000  2 Ta 2.12-2.15
N6 0.3443 0.6905 0.5001  2 Ta 2.12-2.15
Au1 0.6905 0.1662 0.7476  2 Au 2.80-2.81, 4 Y 2.98-3.02, 2 Ta 3.02-3.04
Au2 0.3095 0.8338 0.2524  2 Au 2.80-2.81, 4 Y 2.98-3.02, 2 Ta 3.02-3.04
Au3 0.5814 0.5571 0.2476  2 Au 2.80-2.81, 4 Y 2.98-3.02, 2 Ta 3.02-3.04
Au4 0.8523 0.1023 0.2500  2 Au 2.80, 4 Y 2.98-2.99, 2 Ta 2.99
Au5 0.4186 0.4429 0.7524  2 Au 2.80-2.81, 4 Y 2.98-3.02, 2 Ta 3.02-3.04
Au6 0.1477 0.8977 0.7500  2 Au 2.80, 4 Y 2.98-2.99, 2 Ta 2.99
Ta1 0.5247 0.7241 0.0680  3 N 2.12-2.15
Ta2 0.4753 0.2759 0.9320  3 N 2.12-2.15
Ta3 0.6561 0.9568 0.4320  3 N 2.12-2.15
Ta4 0.3439 0.0432 0.5680  3 N 2.12-2.15

## Properties
Space-group type: No. 15
Total energy in eV/atom: -7.9800
ρ in g/cm³: 10.5



No. 2
VASP calculation (GGA-PBE) on a relaxed NpPaN4 crystal.

Lattice parameters (Å, degrees): 6.3966 6.3966 6.3966 34.20 34.20 34.20
With the nearest neighbours (Å) after each atom.
Fractional coordinates of all 6 atoms:
Pa1 0.5000 0.5000 0.5000  8 N 2.34-2.37
Np1 0.0000 0.0000 0.0000  8 N 2.14-2.26
N1 0.8816 0.8816 0.8816  1 Np 2.14, 3 Pa 2.34
N2 0.1184 0.1184 0.1184  1 Np 2.14, 3 Pa 2.34
N3 0.6313 0.6313 0.6313  3 Np 2.26, 1 Pa 2.37, 3 N 2.52
N4 0.3687 0.3687 0.3687  3 Np 2.26, 1 Pa 2.37, 3 N 2.52

## Properties
Space-group type: No. 166
Total energy in eV/atom: -10.5133
ρ in g/cm³: 11.8



No. 3
VASP calculation (GGA-PBE) on a relaxed BiAu crystal.

Lattice parameters (Å, degrees): 5.6872 4.4582 7.9017 90.00 90.00 90.00
With the nearest neighbours (Å) after each atom.
Fractional coordinates of all 8 atoms:
Au1 0.5000 0.5000 0.5000  6 Au 2.84-2.87
Au2 0.2500 0.0000 0.6400  4 Au 2.87, 5 Bi 2.97-3.14
Au3 0.0000 0.5000 0.5000  6 Au 2.84-2.87
Au4 0.7500 0.0000 0.3600  4 Au 2.87, 5 Bi 2.97-3.14
Bi1 0.7500 0.0000 0.7570  7 Au 2.99-3.33
Bi2 0.7500 0.5000 0.1117  2 Au 2.97
Bi3 0.2500 0.0000 0.2430  7 Au 2.99-3.33
Bi4 0.2500 0.5000 0.8883  2 Au 2.97

## Properties
Space-group type: No. 51
Total energy in eV/atom: -3.6482
ρ in g/cm³: 13.5



No. 4
VASP calculation (GGA-PBE) on a relaxed SrTlPd crystal.

Lattice parameters (Å, degrees): 4.9804 4.9804 4.9804 60.00 60.00 60.00
With the nearest neighbours (Å) after each atom.
Fractional coordinates of all 3 atoms:
Tl1 0.7500 0.7500 0.7500  4 Pd 3.05
Pd1 0.0000 0.0000 0.0000  4 Tl 3.05, 4 Sr 3.05
Sr1 0.2500 0.2500 0.2500  4 Pd 3.05

## Properties
Space-group type: No. 216
Total energy in eV/atom: -3.4992
ρ in g/cm³: 7.6



No. 5
VASP calculation (GGA-PBE) on a relaxed TbTlFeTe3 crystal.

Lattice parameters (Å, degrees): 12.3186 4.4957 13.0977 90.00 90.00 90.00
With the nearest neighbours (Å) after each atom.
Fractional coordinates of all 24 atoms:
Te1 0.0389 0.7500 0.8484  1 Fe 2.61
Te2 0.8997 0.7500 0.5607  1 Fe 2.64
Te3 0.9611 0.2500 0.1516  1 Fe 2.61
Te4 0.2788 0.2500 0.6971  2 Fe 2.66
Te5 0.1003 0.2500 0.4393  1 Fe 2.64
Te6 0.5389 0.7500 0.6516  1 Fe 2.61
Te7 0.7788 0.2500 0.8029  2 Fe 2.66
Te8 0.6003 0.2500 0.0607  1 Fe 2.64
Te9 0.3997 0.7500 0.9393  1 Fe 2.64
Te10 0.4611 0.2500 0.3484  1 Fe 2.61
Te11 0.2212 0.7500 0.1971  2 Fe 2.66
Te12 0.7212 0.7500 0.3029  2 Fe 2.66
Tl1 0.6855 0.2500 0.5073  7 Te 3.45-3.54, 2 Fe 3.46
Tl2 0.8145 0.7500 0.0073  7 Te 3.45-3.54, 2 Fe 3.46
Tl3 0.1855 0.2500 0.9927  7 Te 3.45-3.54, 2 Fe 3.46
Tl4 0.3145 0.7500 0.4927  7 Te 3.45-3.54, 2 Fe 3.46
Fe1 0.7553 0.2500 0.1999  4 Te 2.61-2.66
Fe2 0.2447 0.7500 0.8001  4 Te 2.61-2.66
Fe3 0.7447 0.7500 0.6999  4 Te 2.61-2.66
Fe4 0.2553 0.2500 0.3001  4 Te 2.61-2.66
Tb1 0.4783 0.7500 0.1840  7 Te 3.12-3.37
Tb2 0.5217 0.2500 0.8160  7 Te 3.12-3.37
Tb3 0.9783 0.7500 0.3160  7 Te 3.12-3.37
Tb4 0.0217 0.2500 0.6840  7 Te 3.12-3.37

## Properties
Space-group type: No. 62
Total energy in eV/atom: -4.6903
ρ in g/cm³: 7.3



No. 6
VASP calculation (GGA-PBE) on a relaxed RbAgNO crystal.

Lattice parameters (Å, degrees): 4.7325 4.7325 6.3533 90.00 90.00 90.00
With the nearest neighbours (Å) after each atom.
Fractional coordinates of all 8 atoms:
O1 0.2500 0.7500 0.0000  4 Ag 2.37
O2 0.7500 0.2500 0.0000  4 Ag 2.37
N1 0.2500 0.2500 0.6752  1 Ag 1.98
N2 0.7500 0.7500 0.3248  1 Ag 1.98
Rb1 0.7500 0.2500 0.5000  4 N 2.61
Rb2 0.2500 0.7500 0.5000  4 N 2.61
Ag1 0.7500 0.7500 0.0130  1 N 1.98
Ag2 0.2500 0.2500 0.9870  1 N 1.98

## Properties
Space-group type: No. 129
Total energy in eV/atom: -3.2772
ρ in g/cm³: 5.2



No. 7
VASP calculation (GGA-PBE) on a relaxed TbPrNi8B2 crystal.

Lattice parameters (Å, degrees): 5.0378 5.0378 6.9991 90.00 90.00 120.00
With the nearest neighbours (Å) after each atom.
Fractional coordinates of all 12 atoms:
Ni1 0.5000 0.5000 0.2046  2 B 2.04
Ni2 0.5000 0.0000 0.2046  2 B 2.04
Ni3 0.0000 0.5000 0.2046  2 B 2.04
Ni4 0.5000 0.5000 0.7954  2 B 2.04
Ni5 0.0000 0.5000 0.7954  2 B 2.04
Ni6 0.6667 0.3333 0.5000  6 Ni 2.53
Ni7 0.3333 0.6667 0.5000  6 Ni 2.53
Ni8 0.5000 0.0000 0.7954  2 B 2.04
B1 0.3333 0.6667 0.0000  6 Ni 2.04
B2 0.6667 0.3333 0.0000  6 Ni 2.04
Pr1 0.0000 0.0000 0.5000  6 Ni 2.91
Tb1 0.0000 0.0000 0.0000  12 Ni 2.90, 6 B 2.91

## Properties
Space-group type: No. 191
Total energy in eV/atom: -6.0698
ρ in g/cm³: 8.5



No. 8
VASP calculation (GGA-PBE) on a relaxed NdZnCo crystal.

Lattice parameters (Å, degrees): 4.4840 4.4840 4.4840 60.00 60.00 60.00
With the nearest neighbours (Å) after each atom.
Fractional coordinates of all 3 atoms:
Co1 0.2500 0.2500 0.2500  4 Zn 2.75
Nd1 0.7500 0.7500 0.7500  4 Zn 2.75
Zn1 0.0000 0.0000 0.0000  4 Nd 2.75, 4 Co 2.75

## Properties
Energy of formation in eV/atom: 0.3021
Space-group type: No. 216
ρ in g/cm³: 7.0



No. 9
VASP calculation (GGA-PBE) on a relaxed BaLaAuO3 crystal.

Lattice parameters (Å, degrees): 7.1243 7.1243 8.8351 90.00 90.00 147.91
With the nearest neighbours (Å) after each atom.
Fractional coordinates of all 12 atoms:
O1 0.3870 0.6130 0.9779  1 Au 2.01
O2 0.3870 0.6130 0.5221  1 Au 2.01
O3 0.0681 0.9319 0.7500  2 La 2.40, 2 Ba 2.56
O4 0.6130 0.3870 0.4779  1 Au 2.01
O5 0.9319 0.0681 0.2500  2 La 2.40, 2 Ba 2.56
O6 0.6130 0.3870 0.0221  1 Au 2.01
Au1 0.3847 0.6153 0.7500  2 O 2.01
Au2 0.6153 0.3847 0.2500  2 O 2.01
La1 0.0000 0.0000 0.5000  6 O 2.40-2.51
La2 0.0000 0.0000 0.0000  6 O 2.40-2.51
Ba1 0.3124 0.6876 0.2500  4 O 2.56-2.61
Ba2 0.6876 0.3124 0.7500  4 O 2.56-2.61

## Properties
Space-group type: No. 63
Total energy in eV/atom: -6.4655
ρ in g/cm³: 7.3



No. 10
VASP calculation (GGA-PBE) on a relaxed PaWAu crystal.

Lattice parameters (Å, degrees): 4.6051 4.6051 4.6051 60.00 60.00 60.00
With the nearest neighbours (Å) after each atom.
Fractional coordinates of all 3 atoms:
Au1 0.0000 0.0000 0.0000  4 W 2.82
W1 0.2500 0.2500 0.2500  4 Pa 2.82, 4 Au 2.82
Pa1 0.5000 0.5000 0.5000  4 W 2.82

## Properties
Energy of formation in eV/atom: 0.6939
Space-group type: No. 216
ρ in g/cm³: 14.7



No. 11
VASP calculation (GGA-PBE) on a relaxed ZrTlSi2 crystal.

Lattice parameters (Å, degrees): 4.8597 4.8597 4.8597 60.00 60.00 60.00
With the nearest neighbours (Å) after each atom.
Fractional coordinates of all 4 atoms:
Zr1 0.7500 0.7500 0.7500  4 Tl 2.98, 4 Si 2.98
Si1 0.2500 0.2500 0.2500  4 Tl 2.98, 4 Si 2.98
Si2 0.0000 0.0000 0.0000  4 Zr 2.98, 4 Si 2.98
Tl1 0.5000 0.5000 0.5000  4 Zr 2.98, 4 Si 2.98

## Properties
Space-group type: No. 216
Total energy in eV/atom: -4.9482
ρ in g/cm³: 7.2